Entry 1:
Computed, not measured: crystalline AcPr2NdEr5 at its relaxed geometry at the PBE level of DFT.

Properties
energy relative to the elements: 0.24 eV per atom
final energy: -4.34 eV per atom
space group: I4/mcm

Cell: 10.0544 10.0544 10.0544 Å, 128.05 128.05 76.55°
With the nearest neighbours (Å) after each atom.
Element x y z (fractional)
1 Ac 0.2500 0.2500 0.0000  10 Er 3.65-3.95
2 Ac 0.7500 0.7500 0.0000  10 Er 3.65-3.95
3 Pr 0.1179 0.6179 0.7358  1 Pr 2.94, 2 Er 3.03
4 Pr 0.3821 0.1179 0.5000  1 Pr 2.94, 2 Er 3.03
5 Pr 0.6179 0.8821 0.5000  1 Pr 2.94, 2 Er 3.03
6 Pr 0.8821 0.3821 0.2642  1 Pr 2.94, 2 Er 3.03
7 Nd 0.2500 0.7500 0.5000  4 Er 3.17
8 Nd 0.7500 0.2500 0.5000  4 Er 3.17
9 Er 0.0000 0.0000 0.0000  4 Pr 3.52, 8 Er 3.80
10 Er 0.0737 0.1589 0.5000  1 Pr 3.03, 1 Nd 3.17
11 Er 0.1589 0.6589 0.0851  1 Pr 3.03, 1 Nd 3.17
12 Er 0.3411 0.4263 0.5000  1 Pr 3.03, 1 Nd 3.17
13 Er 0.4263 0.9263 0.0851  1 Pr 3.03, 1 Nd 3.17
14 Er 0.5000 0.5000 0.0000  4 Pr 3.52, 8 Er 3.80
15 Er 0.5737 0.0737 0.9149  1 Pr 3.03, 1 Nd 3.17
16 Er 0.6589 0.5737 0.5000  1 Pr 3.03, 1 Nd 3.17
17 Er 0.8411 0.3411 0.9149  1 Pr 3.03, 1 Nd 3.17
18 Er 0.9263 0.8411 0.5000  1 Pr 3.03, 1 Nd 3.17

=====

Entry 2:
Computed, not measured: crystalline HoTlIrPd at its relaxed geometry at the PBE level of DFT.

Properties
energy relative to the elements: -0.46 eV per atom
final energy: -5.71 eV per atom
space group: F-43m

Cell: 6.7713 6.7713 6.7713 Å, 90.00 90.00 90.00°
With the nearest neighbours (Å) after each atom.
Element x y z (fractional)
1 Ho 0.0000 0.0000 0.0000  4 Pd 2.93, 4 Ir 2.93
2 Ho 0.0000 0.5000 0.5000  4 Pd 2.93, 4 Ir 2.93
3 Ho 0.5000 0.0000 0.5000  4 Pd 2.93, 4 Ir 2.93
4 Ho 0.5000 0.5000 0.0000  4 Pd 2.93, 4 Ir 2.93
5 Tl 0.0000 0.0000 0.5000  4 Ir 2.93, 4 Pd 2.93
6 Tl 0.0000 0.5000 0.0000  4 Ir 2.93, 4 Pd 2.93
7 Tl 0.5000 0.0000 0.0000  4 Ir 2.93, 4 Pd 2.93
8 Tl 0.5000 0.5000 0.5000  4 Ir 2.93, 4 Pd 2.93
9 Ir 0.2500 0.2500 0.7500  4 Tl 2.93, 4 Ho 2.93
10 Ir 0.2500 0.7500 0.2500  4 Tl 2.93, 4 Ho 2.93
11 Ir 0.7500 0.2500 0.2500  4 Tl 2.93, 4 Ho 2.93
12 Ir 0.7500 0.7500 0.7500  4 Tl 2.93, 4 Ho 2.93
13 Pd 0.2500 0.2500 0.2500  4 Tl 2.93, 4 Ho 2.93
14 Pd 0.2500 0.7500 0.7500  4 Tl 2.93, 4 Ho 2.93
15 Pd 0.7500 0.2500 0.7500  4 Tl 2.93, 4 Ho 2.93
16 Pd 0.7500 0.7500 0.2500  4 Tl 2.93, 4 Ho 2.93

=====

Entry 3:
Computed, not measured: crystalline Ac3Cu9Rh2 at its relaxed geometry at the PBE level of DFT.

Properties
energy relative to the elements: -0.18 eV per atom
final energy: -4.75 eV per atom
space group: Immm

Cell: 8.2150 8.2150 8.2150 Å, 149.65 110.42 77.77°
With the nearest neighbours (Å) after each atom.
Element x y z (fractional)
1 Ac 0.0000 0.0000 0.0000  12 Cu 3.01-3.32
2 Ac 0.3062 0.3062 0.0000  2 Rh 3.04, 12 Cu 3.12-3.34
3 Ac 0.6938 0.6938 0.0000  2 Rh 3.04, 12 Cu 3.12-3.34
4 Cu 0.0195 0.6657 0.3538  4 Cu 2.55-2.84, 1 Rh 2.63
5 Cu 0.1578 0.8806 0.2772  4 Cu 2.55-2.84, 2 Rh 2.66
6 Cu 0.3118 0.6657 0.6462  4 Cu 2.55-2.84, 1 Rh 2.63
7 Cu 0.3965 0.1194 0.2772  4 Cu 2.55-2.84, 2 Rh 2.66
8 Cu 0.5000 0.0000 0.5000  4 Cu 2.59, 4 Rh 2.78
9 Cu 0.6035 0.8806 0.7228  4 Cu 2.55-2.84, 2 Rh 2.66
10 Cu 0.6882 0.3343 0.3538  4 Cu 2.55-2.84, 1 Rh 2.63
11 Cu 0.8422 0.1194 0.7228  4 Cu 2.55-2.84, 2 Rh 2.66
12 Cu 0.9805 0.3343 0.6462  4 Cu 2.55-2.84, 1 Rh 2.63
13 Rh 0.3119 0.5000 0.8119  8 Cu 2.63-2.78
14 Rh 0.6881 0.5000 0.1881  8 Cu 2.63-2.78

=====

Entry 4:
Computed, not measured: crystalline Tb2Nd3Sn4 at its relaxed geometry at the PBE level of DFT.

Properties
energy relative to the elements: -0.72 eV per atom
final energy: -5.11 eV per atom
space group: P2_1/c

Cell: 8.8846 9.2652 6.8366 Å, 90.00 104.90 90.00°
With the nearest neighbours (Å) after each atom.
Element x y z (fractional)
1 Tb 0.1294 0.2465 0.0427  6 Sn 3.13-3.28, 2 Tb 3.42
2 Tb 0.1294 0.2535 0.5427  6 Sn 3.13-3.28, 2 Tb 3.42
3 Tb 0.8706 0.7465 0.4573  6 Sn 3.13-3.28, 2 Tb 3.42
4 Tb 0.8706 0.7535 0.9573  6 Sn 3.13-3.28, 2 Tb 3.42
5 Nd 0.2365 0.6267 0.8220  4 Sn 3.15-3.43
6 Nd 0.2365 0.8733 0.3220  4 Sn 3.15-3.43
7 Nd 0.5000 0.0000 0.0000  6 Sn 3.17-3.39
8 Nd 0.5000 0.5000 0.5000  6 Sn 3.17-3.39
9 Nd 0.7635 0.1267 0.6780  4 Sn 3.15-3.43
10 Nd 0.7635 0.3733 0.1780  4 Sn 3.15-3.43
11 Sn 0.1148 0.5504 0.2837  3 Nd 3.17-3.43, 4 Tb 3.26-3.28
12 Sn 0.1148 0.9496 0.7837  3 Nd 3.17-3.43, 4 Tb 3.26-3.28
13 Sn 0.4319 0.1718 0.3795  2 Tb 3.13-3.25, 4 Nd 3.15-3.23
14 Sn 0.4319 0.3282 0.8795  2 Tb 3.13-3.25, 4 Nd 3.15-3.23
15 Sn 0.5681 0.6718 0.1205  2 Tb 3.13-3.25, 4 Nd 3.15-3.23
16 Sn 0.5681 0.8282 0.6205  2 Tb 3.13-3.25, 4 Nd 3.15-3.23
17 Sn 0.8852 0.0504 0.2163  3 Nd 3.17-3.43, 4 Tb 3.26-3.28
18 Sn 0.8852 0.4496 0.7163  3 Nd 3.17-3.43, 4 Tb 3.26-3.28

=====

Entry 5:
Computed, not measured: crystalline In2Pb2Cl7 at its relaxed geometry at the PBE level of DFT.

Properties
final energy: -3.29 eV per atom
space group: Cmmm

Cell: 7.0300 7.0300 7.1206 Å, 90.00 90.00 97.06°
With the nearest neighbours (Å) after each atom.
Element x y z (fractional)
1 In 0.2418 0.2418 0.0000  6 Cl 2.83-3.13
2 In 0.7582 0.7582 0.0000  6 Cl 2.83-3.13
3 Pb 0.2352 0.7648 0.5000  7 Cl 2.79-3.09
4 Pb 0.7648 0.2352 0.5000  7 Cl 2.79-3.09
5 Cl 0.0000 0.0000 0.2407  2 In 2.83, 2 Pb 3.09
6 Cl 0.0000 0.0000 0.7593  2 In 2.83, 2 Pb 3.09
7 Cl 0.0000 0.5000 0.2361  2 Pb 3.00, 2 In 3.13
8 Cl 0.0000 0.5000 0.7639  2 Pb 3.00, 2 In 3.13
9 Cl 0.5000 0.0000 0.2361  2 Pb 3.00, 2 In 3.13
10 Cl 0.5000 0.0000 0.7639  2 Pb 3.00, 2 In 3.13
11 Cl 0.5000 0.5000 0.5000  2 Pb 2.79

=====

Entry 6:
Computed, not measured: crystalline BiSb2S4 at its relaxed geometry at the PBE level of DFT.

Properties
final energy: -4.21 eV per atom
space group: Imma

Cell: 7.7691 7.7691 7.7691 Å, 110.64 110.51 107.29°
With the nearest neighbours (Å) after each atom.
Element x y z (fractional)
1 Bi 0.3761 0.1261 0.2500  4 S 2.83
2 Bi 0.6239 0.8739 0.7500  4 S 2.83
3 Sb 0.0000 0.0000 0.5000  6 S 2.75-2.82
4 Sb 0.0000 0.5000 0.0000  6 S 2.75-2.82
5 Sb 0.0000 0.5000 0.5000  6 S 2.75-2.82
6 Sb 0.5000 0.5000 0.0000  6 S 2.75-2.82
7 S 0.1484 0.2064 0.9420  3 Sb 2.75-2.82, 1 Bi 2.83
8 S 0.2356 0.7936 0.4420  3 Sb 2.75-2.82, 1 Bi 2.83
9 S 0.2937 0.3516 0.5579  3 Sb 2.75-2.82, 1 Bi 2.83
10 S 0.2937 0.7357 0.9421  3 Sb 2.75-2.82, 1 Bi 2.83
11 S 0.7063 0.2643 0.0579  3 Sb 2.75-2.82, 1 Bi 2.83
12 S 0.7063 0.6484 0.4421  3 Sb 2.75-2.82, 1 Bi 2.83
13 S 0.7644 0.2064 0.5580  3 Sb 2.75-2.82, 1 Bi 2.83
14 S 0.8516 0.7936 0.0580  3 Sb 2.75-2.82, 1 Bi 2.83

=====

Entry 7:
Computed, not measured: crystalline Rb2Ca3LaF12 at its relaxed geometry at the PBE level of DFT.

Properties
final energy: -5.37 eV per atom
space group: R-3m

Cell: 8.5781 8.5781 8.5781 Å, 56.82 56.82 56.82°
With the nearest neighbours (Å) after each atom.
Element x y z (fractional)
1 Rb 0.0883 0.0883 0.0883  3 F 3.04
2 Rb 0.9117 0.9117 0.9117  3 F 3.04
3 Ca 0.0000 0.5000 0.5000  6 F 2.26
4 Ca 0.5000 0.0000 0.5000  6 F 2.26
5 Ca 0.5000 0.5000 0.0000  6 F 2.26
6 La 0.5000 0.5000 0.5000  6 F 2.32
7 F 0.1678 0.1678 0.5956  2 Ca 2.26
8 F 0.1678 0.5956 0.1678  2 Ca 2.26
9 F 0.1725 0.5679 0.5679  1 Ca 2.26, 1 La 2.32
10 F 0.4044 0.8322 0.8322  2 Ca 2.26
11 F 0.4321 0.4321 0.8275  1 Ca 2.26, 1 La 2.32
12 F 0.4321 0.8275 0.4321  1 Ca 2.26, 1 La 2.32
13 F 0.5679 0.1725 0.5679  1 Ca 2.26, 1 La 2.32
14 F 0.5679 0.5679 0.1725  1 Ca 2.26, 1 La 2.32
15 F 0.5956 0.1678 0.1678  2 Ca 2.26
16 F 0.8275 0.4321 0.4321  1 Ca 2.26, 1 La 2.32
17 F 0.8322 0.4044 0.8322  2 Ca 2.26
18 F 0.8322 0.8322 0.4044  2 Ca 2.26

=====

Entry 8:
Computed, not measured: crystalline Mn2NiHg at its relaxed geometry at the PBE level of DFT.

Properties
energy relative to the elements: 0.29 eV per atom
final energy: -5.81 eV per atom
space group: Cm

Cell: 9.2511 2.9524 4.6222 Å, 90.00 105.05 90.00°
With the nearest neighbours (Å) after each atom.
Element x y z (fractional)
1 Mn 0.0000 0.0000 0.0000  2 Ni 2.53, 4 Hg 2.72-2.78, 3 Mn 2.77-2.81
2 Mn 0.2393 0.0000 0.7423  4 Ni 2.61-2.88, 3 Hg 2.77-2.83, 3 Mn 2.77-2.81
3 Mn 0.5000 0.5000 0.0000  2 Ni 2.53, 4 Hg 2.72-2.78, 3 Mn 2.77-2.81
4 Mn 0.7393 0.5000 0.7423  4 Ni 2.61-2.88, 3 Hg 2.77-2.83, 3 Mn 2.77-2.81
5 Ni 0.2257 0.5000 0.2014  4 Mn 2.53-2.61, 2 Hg 2.77
6 Ni 0.7257 0.0000 0.2014  4 Mn 2.53-2.61, 2 Hg 2.77
7 Hg 0.4765 0.0000 0.4796  7 Mn 2.72-2.83, 3 Ni 2.77-2.92, 2 Hg 2.95
8 Hg 0.9765 0.5000 0.4796  7 Mn 2.72-2.83, 3 Ni 2.77-2.92, 2 Hg 2.95

=====

Entry 9:
Computed, not measured: crystalline CaCrW3 at its relaxed geometry at the PBE level of DFT.

Properties
energy relative to the elements: 3.45 eV per atom
final energy: -6.64 eV per atom
space group: Pm-3m

Cell: 4.5340 4.5340 4.5340 Å, 90.00 90.00 90.00°
With the nearest neighbours (Å) after each atom.
Element x y z (fractional)
1 Ca 0.0000 0.0000 0.0000  6 W 2.27
2 Cr 0.5000 0.5000 0.5000  12 W 3.21
3 W 0.0000 0.0000 0.5000  2 Ca 2.27
4 W 0.0000 0.5000 0.0000  2 Ca 2.27
5 W 0.5000 0.0000 0.0000  2 Ca 2.27

=====

Entry 10:
Computed, not measured: crystalline RbLi2ReI at its relaxed geometry at the PBE level of DFT.

Properties
final energy: -2.18 eV per atom
space group: P4/mmm

Cell: 6.2062 6.2062 6.3726 Å, 90.00 90.00 90.00°
With the nearest neighbours (Å) after each atom.
Element x y z (fractional)
1 Rb 0.0000 0.0000 0.0000  4 Li 3.10, 2 I 3.19
2 Li 0.0000 0.5000 0.0000  2 Rb 3.10
3 Li 0.5000 0.0000 0.0000  2 Rb 3.10
4 Re 0.5000 0.5000 0.5000  4 I 4.39, 8 Li 4.45
5 I 0.0000 0.0000 0.5000  2 Rb 3.19

=====

Entry 11:
Computed, not measured: crystalline HfIn3Pb at its relaxed geometry at the PBE level of DFT.

Properties
energy relative to the elements: 0.53 eV per atom
final energy: -3.85 eV per atom
space group: Pm-3m

Cell: 5.5567 5.5567 5.5567 Å, 90.00 90.00 90.00°
With the nearest neighbours (Å) after each atom.
Element x y z (fractional)
1 Hf 0.0000 0.0000 0.0000  6 In 2.78
2 In 0.0000 0.0000 0.5000  2 Hf 2.78
3 In 0.0000 0.5000 0.0000  2 Hf 2.78
4 In 0.5000 0.0000 0.0000  2 Hf 2.78
5 Pb 0.5000 0.5000 0.5000  12 In 3.93

=====

Entry 12:
Computed, not measured: crystalline KNa3Sn at its relaxed geometry at the PBE level of DFT.

Properties
energy relative to the elements: -0.10 eV per atom
final energy: -1.91 eV per atom
space group: P-1

Cell: 5.7981 5.8371 10.0128 Å, 90.01 106.78 90.07°
With the nearest neighbours (Å) after each atom.
Element x y z (fractional)
1 K 0.1581 0.2509 0.3187  8 Na 3.34-3.65
2 K 0.8419 0.7491 0.6813  8 Na 3.34-3.65
3 Na 0.0655 0.7506 0.1292  2 Sn 3.25, 2 K 3.44, 3 Na 3.57-3.63
4 Na 0.2551 0.7509 0.5083  4 K 3.34-3.44, 4 Sn 3.54-3.62, 1 Na 3.63
5 Na 0.4563 0.7497 0.9119  4 Na 3.37-3.57, 3 Sn 3.46-3.55, 2 K 3.64-3.65
6 Na 0.5437 0.2503 0.0881  4 Na 3.37-3.57, 3 Sn 3.46-3.55, 2 K 3.64-3.65
7 Na 0.7449 0.2491 0.4917  4 K 3.34-3.44, 4 Sn 3.54-3.62, 1 Na 3.63
8 Na 0.9345 0.2494 0.8708  2 Sn 3.25, 2 K 3.44, 3 Na 3.57-3.63
9 Sn 0.3578 0.2499 0.7177  9 Na 3.25-3.62
10 Sn 0.6422 0.7501 0.2823  9 Na 3.25-3.62